Entry 1:
First-principles (PBE) data for a relaxed structure of Tm2Al2Cd, as listed in Alexandria.

Summary:
* DFT total energy: -3.858 eV per atom
* crystal system: orthorhombic
* E_form: -390 meV per atom
* space-group type: Cmmm, No. 65

Unit cell a=3.4426 b=4.4606 c=7.6381 alpha=106.98 beta=90.00 gamma=90.00
With the nearest neighbours (Å) after each atom.
Element x y z (fractional)
Al  0.0000  0.7975  0.5950  2 Al 2.63
Al  0.0000  0.2025  0.4050  2 Al 2.63
Tm  0.5000  0.3789  0.7577  6 Al 3.06-3.10, 4 Cd 3.33
Tm  0.5000  0.6211  0.2423  6 Al 3.06-3.10, 4 Cd 3.33
Cd  0.0000  0.0000  0.0000  2 Al 2.96



Entry 2:
First-principles (PBE) data for a relaxed structure of TmAlCd, as listed in Alexandria.

Summary:
* DFT total energy: -3.392 eV per atom
* crystal system: monoclinic
* E_form: -349 meV per atom
* space-group type: C2/m, No. 12

Unit cell a=4.6709 b=5.8606 c=5.8751 alpha=73.25 beta=66.58 gamma=66.52
With the nearest neighbours (Å) after each atom.
Element x y z (fractional)
Tm  0.4828  0.7683  0.2662  6 Cd 3.20-3.29, 6 Al 3.20-3.36, 2 Tm 3.50-3.53
Tm  0.5172  0.2317  0.7338  6 Cd 3.20-3.29, 6 Al 3.20-3.36, 2 Tm 3.50-3.53
Cd  0.1714  0.7994  0.8579  2 Al 2.71, 1 Cd 2.83
Cd  0.8286  0.2006  0.1421  2 Al 2.71, 1 Cd 2.83
Al  0.1599  0.3538  0.3263  1 Al 2.62, 2 Cd 2.71
Al  0.8401  0.6462  0.6737  1 Al 2.62, 2 Cd 2.71



Entry 3:
First-principles (PBE) data for a relaxed structure of TmAlCd11, as listed in Alexandria.

Summary:
* DFT total energy: -1.430 eV per atom
* crystal system: monoclinic
* E_form: -24 meV per atom
* space-group type: C2/m, No. 12

Unit cell a=5.8867 b=7.5638 c=7.6314 alpha=81.55 beta=67.31 gamma=67.62
With the nearest neighbours (Å) after each atom.
Element x y z (fractional)
Cd  0.6451  0.3528  0.3465  8 Cd 2.99-3.31, 1 Al 3.02
Cd  0.4975  0.7872  0.2092  1 Al 2.87, 7 Cd 2.92-3.19
Cd  0.5025  0.2128  0.7908  1 Al 2.87, 7 Cd 2.92-3.19
Cd  0.9916  0.3528  0.6535  8 Cd 2.99-3.31, 1 Al 3.02
Cd  0.3549  0.6472  0.6535  8 Cd 2.99-3.31, 1 Al 3.02
Cd  0.0000  0.0000  0.5000  10 Cd 2.92-3.10
Cd  0.0000  0.5000  0.0000  8 Cd 2.92-3.04, 2 Al 2.94
Cd  0.0084  0.6472  0.3465  8 Cd 2.99-3.31, 1 Al 3.02
Cd  0.7067  0.7872  0.7908  1 Al 2.87, 7 Cd 2.92-3.19
Cd  0.5000  0.0000  0.5000  10 Cd 2.92-3.10
Cd  0.2933  0.2128  0.2092  1 Al 2.87, 7 Cd 2.92-3.19
Al  0.5000  0.5000  0.0000  10 Cd 2.87-3.02
Tm  0.0000  0.0000  0.0000  18 Cd 3.47-3.82, 2 Al 3.81



Entry 4:
First-principles (PBE) data for a relaxed structure of Tm4Al2Cd5, as listed in Alexandria.

Summary:
* DFT total energy: -3.004 eV per atom
* crystal system: monoclinic
* E_form: -282 meV per atom
* space-group type: P2/m, No. 10

Unit cell a=3.4706 b=7.7211 c=9.8182 alpha=94.91 beta=90.00 gamma=90.00
With the nearest neighbours (Å) after each atom.
Element x y z (fractional)
Tm  0.5000  0.7335  0.5611  4 Al 3.09, 6 Cd 3.25-3.27
Tm  0.5000  0.8326  0.1205  2 Al 3.06, 8 Cd 3.21-3.32
Tm  0.5000  0.1674  0.8795  2 Al 3.06, 8 Cd 3.21-3.32
Tm  0.5000  0.2665  0.4389  4 Al 3.09, 6 Cd 3.25-3.27
Cd  0.0000  0.5656  0.3014  1 Al 2.91, 2 Cd 2.96-3.16, 2 Tm 3.26
Cd  0.0000  0.4344  0.6986  1 Al 2.91, 2 Cd 2.96-3.16, 2 Tm 3.26
Cd  0.0000  0.5000  0.0000  4 Cd 2.96-3.03, 4 Tm 3.24
Cd  0.0000  0.8177  0.8393  1 Al 2.90, 2 Cd 3.03-3.16, 2 Tm 3.21
Cd  0.0000  0.1823  0.1607  1 Al 2.90, 2 Cd 3.03-3.16, 2 Tm 3.21
Al  0.0000  0.0601  0.6297  1 Al 2.63, 2 Cd 2.90-2.91
Al  0.0000  0.9399  0.3703  1 Al 2.63, 2 Cd 2.90-2.91



Entry 5:
First-principles (PBE) data for a relaxed structure of Tm6AlCd, as listed in Alexandria.

Summary:
* DFT total energy: -4.076 eV per atom
* crystal system: tetragonal
* E_form: -140 meV per atom
* space-group type: P4/mmm, No. 123

Unit cell a=4.7386 b=4.7386 c=9.4915 alpha=90.00 beta=90.00 gamma=90.00
With the nearest neighbours (Å) after each atom.
Element x y z (fractional)
Tm  0.5000  0.0000  0.7432  2 Al 3.31, 8 Tm 3.31-3.40, 2 Cd 3.40
Tm  0.0000  0.5000  0.2568  8 Tm 3.31-3.40, 2 Al 3.31, 2 Cd 3.40
Tm  0.5000  0.5000  0.0000  4 Cd 3.35, 8 Tm 3.40
Tm  0.5000  0.0000  0.2568  8 Tm 3.31-3.40, 2 Al 3.31, 2 Cd 3.40
Tm  0.5000  0.5000  0.5000  8 Tm 3.31, 4 Al 3.35
Tm  0.0000  0.5000  0.7432  2 Al 3.31, 8 Tm 3.31-3.40, 2 Cd 3.40
Al  0.0000  0.0000  0.5000  12 Tm 3.31-3.35
Cd  0.0000  0.0000  0.0000  12 Tm 3.35-3.40



Entry 6:
First-principles (PBE) data for a relaxed structure of TmAlCd, as listed in Alexandria.

Summary:
* DFT total energy: -3.304 eV per atom
* crystal system: orthorhombic
* E_form: -261 meV per atom
* space-group type: Cmcm, No. 63

Unit cell a=4.8262 b=3.7477 c=7.9084 alpha=90.00 beta=107.77 gamma=90.00
With the nearest neighbours (Å) after each atom.
Element x y z (fractional)
Cd  0.2739  0.2500  0.5477  2 Al 3.06, 4 Cd 3.14, 4 Tm 3.17-3.34
Cd  0.7261  0.7500  0.4523  2 Al 3.06, 4 Cd 3.14, 4 Tm 3.17-3.34
Tm  0.9099  0.2500  0.8197  6 Al 3.08-3.37, 4 Cd 3.17-3.34, 2 Tm 3.30
Tm  0.0901  0.7500  0.1803  6 Al 3.08-3.37, 4 Cd 3.17-3.34, 2 Tm 3.30
Al  0.5657  0.2500  0.1315  2 Al 2.73
Al  0.4343  0.7500  0.8685  2 Al 2.73



Entry 7:
First-principles (PBE) data for a relaxed structure of TmAlCd, as listed in Alexandria.

Summary:
* DFT total energy: -3.205 eV per atom
* crystal system: tetragonal
* E_form: -162 meV per atom
* space-group type: I4/mmm, No. 139

Unit cell a=3.2908 b=3.2908 c=13.2230 alpha=97.15 beta=97.15 gamma=90.00
With the nearest neighbours (Å) after each atom.
Element x y z (fractional)
Cd  0.4445  0.4445  0.8891  1 Cd 2.89
Cd  0.5555  0.5555  0.1109  1 Cd 2.89
Al  0.2785  0.2785  0.5570  4 Al 2.76, 4 Tm 3.09
Al  0.7215  0.7215  0.4430  4 Al 2.76, 4 Tm 3.09
Tm  0.1436  0.1436  0.2873  4 Al 3.09, 4 Cd 3.27, 4 Tm 3.29
Tm  0.8564  0.8564  0.7127  4 Al 3.09, 4 Cd 3.27, 4 Tm 3.29



Entry 8:
First-principles (PBE) data for a relaxed structure of Tm4AlZn2Cd, as listed in Alexandria.

Summary:
* DFT total energy: -3.478 eV per atom
* crystal system: trigonal
* E_form: -342 meV per atom
* space-group type: R-3m, No. 166

Unit cell a=5.0591 b=5.0591 c=8.7711 alpha=73.24 beta=73.24 gamma=60.00
With the nearest neighbours (Å) after each atom.
Element x y z (fractional)
Tm  0.3771  0.3771  0.8687  1 Al 3.05, 4 Zn 3.08-3.14, 3 Cd 3.12
Tm  0.1270  0.1270  0.6188  4 Zn 3.06-3.12, 3 Al 3.08, 1 Cd 3.15
Tm  0.8730  0.8730  0.3812  4 Zn 3.06-3.12, 3 Al 3.08, 1 Cd 3.15
Tm  0.6229  0.6229  0.1313  1 Al 3.05, 4 Zn 3.08-3.14, 3 Cd 3.12
Zn  0.7495  0.7495  0.7516  8 Tm 3.06-3.14
Zn  0.2505  0.2505  0.2484  8 Tm 3.06-3.14
Cd  0.0000  0.0000  0.0000  8 Tm 3.12-3.15
Al  0.5000  0.5000  0.5000  8 Tm 3.05-3.08



Entry 9:
First-principles (PBE) data for a relaxed structure of Tm4Al2ZnCd, as listed in Alexandria.

Summary:
* DFT total energy: -3.804 eV per atom
* crystal system: trigonal
* E_form: -359 meV per atom
* space-group type: R-3m, No. 166

Unit cell a=5.0661 b=5.0661 c=8.7822 alpha=73.24 beta=73.24 gamma=60.00
With the nearest neighbours (Å) after each atom.
Element x y z (fractional)
Al  0.7483  0.7483  0.7550  8 Tm 3.06-3.15
Al  0.2517  0.2517  0.2450  8 Tm 3.06-3.15
Tm  0.6215  0.6215  0.1354  1 Zn 3.02, 4 Al 3.06-3.15, 3 Cd 3.13
Tm  0.3785  0.3785  0.8646  1 Zn 3.02, 4 Al 3.06-3.15, 3 Cd 3.13
Tm  0.8718  0.8718  0.3845  4 Al 3.07-3.14, 3 Zn 3.08, 1 Cd 3.18
Tm  0.1282  0.1282  0.6155  4 Al 3.07-3.14, 3 Zn 3.08, 1 Cd 3.18
Zn  0.5000  0.5000  0.5000  8 Tm 3.02-3.08
Cd  0.0000  0.0000  0.0000  8 Tm 3.13-3.18



Entry 10:
First-principles (PBE) data for a relaxed structure of TmZrAlCd, as listed in Alexandria.

Summary:
* DFT total energy: -4.661 eV per atom
* crystal system: cubic
* E_form: -241 meV per atom
* space-group type: F-43m, No. 216

Unit cell a=4.9963 b=4.9963 c=4.9963 alpha=60.00 beta=60.00 gamma=60.00
With the nearest neighbours (Å) after each atom.
Element x y z (fractional)
Al  0.2500  0.2500  0.2500  4 Zr 3.06, 4 Tm 3.06
Tm  0.5000  0.5000  0.5000  4 Al 3.06, 4 Cd 3.06
Zr  0.0000  0.0000  0.0000  4 Cd 3.06, 4 Al 3.06
Cd  0.7500  0.7500  0.7500  4 Tm 3.06, 4 Zr 3.06



Entry 11:
First-principles (PBE) data for a relaxed structure of UAlCd, as listed in Alexandria.

Summary:
* DFT total energy: -5.232 eV per atom
* crystal system: tetragonal
* E_form: 83 meV per atom
* space-group type: P4/nmm, No. 129
* offset from the most stable computed form: 0.0 meV/atom

Unit cell a=2.8697 b=2.8697 c=14.5585 alpha=90.00 beta=90.00 gamma=90.00
With the nearest neighbours (Å) after each atom.
Element x y z (fractional)
Cd  0.5000  0.0000  0.0907  4 Cd 2.87, 4 Al 3.13
Cd  0.0000  0.5000  0.9093  4 Cd 2.87, 4 Al 3.13
U  0.5000  0.0000  0.4137  4 U 2.87, 4 Al 3.08
U  0.0000  0.5000  0.5863  4 U 2.87, 4 Al 3.08
Al  0.5000  0.0000  0.7451  4 Al 2.87, 4 U 3.08, 4 Cd 3.13
Al  0.0000  0.5000  0.2549  4 Al 2.87, 4 U 3.08, 4 Cd 3.13



Entry 12:
First-principles (PBE) data for a relaxed structure of UAl4Cd, as listed in Alexandria.

Summary:
* DFT total energy: -4.438 eV per atom
* crystal system: cubic
* E_form: 91 meV per atom
* space-group type: F-43m, No. 216

Unit cell a=5.5092 b=5.5092 c=5.5092 alpha=60.00 beta=60.00 gamma=60.00
With the nearest neighbours (Å) after each atom.
Element x y z (fractional)
Cd  0.2500  0.2500  0.2500  12 Al 3.23, 4 U 3.37
Al  0.6258  0.6258  0.1225  6 Al 2.74-2.77
Al  0.1225  0.6258  0.6258  6 Al 2.74-2.77
Al  0.6258  0.1225  0.6258  6 Al 2.74-2.77
Al  0.6258  0.6258  0.6258  6 Al 2.74-2.77
U  0.0000  0.0000  0.0000  12 Al 3.23, 4 Cd 3.37